This record from Alexandria via LeMat-Bulk describes a relaxed structure of Sc8C3NO3. The functional is PBE.

## Properties
Formation energy (no corrections) in eV/atom: -1.7877
Crystal system: trigonal
Magnetization in μB per cell: 0.00
Calculated volume in Å³/cell: 193.1
Total energy in eV per atom: -8.56

```
Sc8C3NO3
1.0
-0.107 -3.982 -5.132
5.662 2.273 2.230
-3.337 -4.355 3.449
C Sc O N
3 8 3 1
direct
0.500 0.000 0.500 C
0.500 0.500 0.500 C
0.000 0.500 0.500 C
0.756 0.007 0.263 Sc
0.244 0.487 0.737 Sc
0.756 0.513 0.263 Sc
0.250 0.007 0.263 Sc
0.244 0.993 0.737 Sc
0.750 0.993 0.737 Sc
0.747 0.493 0.740 Sc
0.253 0.507 0.260 Sc
0.000 0.500 0.000 O
0.000 0.000 0.000 O
0.500 0.500 0.000 O
0.000 0.000 0.500 N
```


This record from Alexandria via LeMat-Bulk describes a relaxed structure of ScCNO2. The functional is PBE.

## Properties
Formation energy (no corrections) in eV/atom: 0.9597
Crystal system: tetragonal
Magnetization in μB per cell: 2.00
Calculated volume in Å³/cell: 71.7
Total energy in eV per atom: -5.80

```
ScCNO2
1.0
-3.256 -2.420 -0.165
1.821 -2.256 -2.843
1.717 -2.521 3.101
O Sc C N
2 1 1 1
direct
0.000 0.500 0.000 O
0.500 0.000 0.000 O
0.000 0.000 0.000 Sc
0.500 0.500 0.500 C
0.000 0.000 0.500 N
```